[1]
Here is a geometry-optimized LiVRe2Sb structure from the Alexandria database. Energies are from GGA-PBE.

Cell: 4.2699 4.2234 4.2699 Å, 90.00 90.00 90.00°
With the nearest neighbours (Å) after each atom.
Element x y z (fractional)
Re1 0.5000 0.0000 0.0000  2 Li 2.13
Re2 0.0000 0.0000 0.5000  2 Li 2.13
Li1 0.0000 0.0000 0.0000  2 Sb 2.11, 4 Re 2.13
Sb1 0.0000 0.5000 0.0000  2 Li 2.11
V1 0.5000 0.5000 0.5000  8 Re 3.00, 4 Sb 3.02

Summary:
Magnetic moment, μB/f.u.: 0.015
Density, Mg/m³: 11.905
Total energy, eV/atom: -6.652

[2]
Here is a geometry-optimized Li2ScRe structure from the Alexandria database. Energies are from GGA-PBE.

Cell: 4.5401 4.5401 4.5401 Å, 60.00 60.00 60.00°
With the nearest neighbours (Å) after each atom.
Element x y z (fractional)
Sc1 0.7500 0.7500 0.7500  4 Li 2.78, 4 Re 2.78
Re1 0.5000 0.5000 0.5000  4 Li 2.78, 4 Sc 2.78
Li1 0.0000 0.0000 0.0000  4 Sc 2.78, 4 Li 2.78
Li2 0.2500 0.2500 0.2500  4 Re 2.78, 4 Li 2.78

Summary:
Magnetic moment, μB/f.u.: 0.797
E_form, eV per atom: 0.52
Density, Mg/m³: 6.149
Energy relative to the lowest polymorph listed for this composition, eV/atom: 0.331

[3]
Here is a geometry-optimized Li2ScRe structure from the Alexandria database. Energies are from GGA-PBE.

Cell: 4.4947 4.4947 2.9237 Å, 90.00 90.00 90.00°
With the nearest neighbours (Å) after each atom.
Element x y z (fractional)
Re1 0.5000 0.0000 0.5000  8 Li 2.68, 2 Re 2.92
Li1 0.5000 0.5000 0.0000  4 Re 2.68, 4 Sc 2.68, 2 Li 2.92
Li2 0.0000 0.0000 0.0000  4 Sc 2.68, 4 Re 2.68, 2 Li 2.92
Sc1 0.0000 0.5000 0.5000  8 Li 2.68, 2 Sc 2.92

Summary:
Magnetic moment, μB/f.u.: 0.001
E_form, eV per atom: 0.53
Density, Mg/m³: 6.889
Energy relative to the lowest polymorph listed for this composition, eV/atom: 0.343

[4]
Here is a geometry-optimized Li2ScRe structure from the Alexandria database. Energies are from GGA-PBE.

Cell: 2.9570 4.4778 5.1035 Å, 90.00 90.00 90.00°
With the nearest neighbours (Å) after each atom.
Element x y z (fractional)
Li1 0.5000 0.5000 0.0000  6 Li 2.68-2.96, 4 Sc 2.95
Li2 0.0000 0.0000 0.0000  6 Li 2.68-2.96, 4 Re 2.95
Sc1 0.0000 0.5000 0.5000  4 Re 2.68, 4 Li 2.95, 2 Sc 2.96
Re1 0.5000 0.0000 0.5000  4 Sc 2.68, 4 Li 2.95, 2 Re 2.96

Summary:
Magnetic moment, μB/f.u.: 0.000
E_form, eV per atom: 0.30
Density, Mg/m³: 6.022
Energy relative to the lowest polymorph listed for this composition, eV/atom: 0.116

[5]
Here is a geometry-optimized Li2ScRe structure from the Alexandria database. Energies are from GGA-PBE.

Cell: 2.6862 4.2511 5.9992 Å, 90.00 90.00 90.00°
With the nearest neighbours (Å) after each atom.
Element x y z (fractional)
Li1 0.0000 0.0000 0.0229  6 Li 2.69-2.88, 1 Re 2.88
Li2 0.5000 0.5000 0.2555  6 Li 2.69-2.88, 1 Sc 2.77, 4 Re 2.92
Sc1 0.5000 0.5000 0.7180  2 Sc 2.69, 1 Li 2.77, 4 Re 2.82
Re1 0.0000 0.0000 0.5036  2 Re 2.69, 4 Sc 2.82, 5 Li 2.88-2.92

Summary:
Magnetic moment, μB/f.u.: 0.000
E_form, eV per atom: 0.27
Density, Mg/m³: 5.940
Energy relative to the lowest polymorph listed for this composition, eV/atom: 0.085

[6]
Here is a geometry-optimized Li2ScRe structure from the Alexandria database. Energies are from GGA-PBE.

Cell: 2.6753 2.6753 9.9727 Å, 90.00 90.00 108.77°
With the nearest neighbours (Å) after each atom.
Element x y z (fractional)
Li1 0.0000 0.0000 0.4760  4 Li 2.68, 2 Re 2.74
Li2 0.0000 0.0000 0.0240  4 Li 2.68, 2 Re 2.74
Sc1 0.5000 0.5000 0.7500  4 Sc 2.68
Re1 0.5000 0.5000 0.2500  4 Re 2.68, 4 Li 2.74

Summary:
Magnetic moment, μB/f.u.: 0.000
E_form, eV per atom: 0.40
Density, Mg/m³: 6.021
Energy relative to the lowest polymorph listed for this composition, eV/atom: 0.215

[7]
Here is a geometry-optimized LiScRe structure from the Alexandria database. Energies are from GGA-PBE.

Cell: 4.4280 4.4280 4.4280 Å, 60.00 60.00 60.00°
With the nearest neighbours (Å) after each atom.
Element x y z (fractional)
Sc1 0.7500 0.7500 0.7500  4 Re 2.71, 4 Li 2.71
Li1 0.0000 0.0000 0.0000  4 Sc 2.71
Re1 0.5000 0.5000 0.5000  4 Sc 2.71

Summary:
Magnetic moment, μB/f.u.: 1.352
E_form, eV per atom: 1.29
Density, Mg/m³: 6.440
Energy relative to the lowest polymorph listed for this composition, eV/atom: 1.097

[8]
Here is a geometry-optimized LiScRe structure from the Alexandria database. Energies are from GGA-PBE.

Cell: 5.0513 5.0513 5.0513 Å, 142.15 142.15 54.61°
With the nearest neighbours (Å) after each atom.
Element x y z (fractional)
Li1 0.9859 0.9859 0.0000  4 Re 2.65, 5 Sc 2.82-2.86
Sc1 0.6720 0.6720 0.0000  5 Re 2.77-2.96, 5 Li 2.82-2.86
Re1 0.3420 0.3420 0.0000  4 Li 2.65, 5 Sc 2.77-2.96

Summary:
Magnetic moment, μB/f.u.: 0.001
E_form, eV per atom: 0.36
Density, Mg/m³: 8.203
Energy relative to the lowest polymorph listed for this composition, eV/atom: 0.166

[9]
Here is a geometry-optimized Li2ScRe structure from the Alexandria database. Energies are from GGA-PBE.

Cell: 5.2790 5.2790 5.2790 Å, 137.61 137.61 61.50°
With the nearest neighbours (Å) after each atom.
Element x y z (fractional)
Sc1 0.7500 0.2500 0.5000  4 Re 2.70, 8 Li 2.96
Li1 0.0000 0.0000 0.0000  4 Li 2.70, 4 Re 2.96, 4 Sc 2.96
Li2 0.5000 0.5000 0.0000  4 Li 2.70, 4 Sc 2.96, 4 Re 2.96
Re1 0.2500 0.7500 0.5000  4 Sc 2.70, 8 Li 2.96

Summary:
Magnetic moment, μB/f.u.: 0.000
E_form, eV per atom: 0.43
Density, Mg/m³: 6.156
Energy relative to the lowest polymorph listed for this composition, eV/atom: 0.241

[10]
Here is a geometry-optimized LiScRe structure from the Alexandria database. Energies are from GGA-PBE.

Cell: 7.6236 7.4270 2.7888 Å, 83.32 75.37 21.30°
With the nearest neighbours (Å) after each atom.
Element x y z (fractional)
Li1 0.0132 0.0132 0.9868  2 Re 2.73, 4 Li 2.79
Re1 0.6677 0.6677 0.3323  2 Sc 2.69, 2 Li 2.73, 4 Re 2.79
Sc1 0.3191 0.3191 0.6809  2 Re 2.69, 4 Sc 2.79

Summary:
Magnetic moment, μB/f.u.: 0.000
E_form, eV per atom: 0.25
Density, Mg/m³: 7.568
Energy relative to the lowest polymorph listed for this composition, eV/atom: 0.049

[11]
Here is a geometry-optimized Li2ScRe structure from the Alexandria database. Energies are from GGA-PBE.

Cell: 5.3071 5.3071 5.3071 Å, 149.52 125.65 63.60°
With the nearest neighbours (Å) after each atom.
Element x y z (fractional)
Sc1 0.2416 0.7416 0.5000  6 Li 2.75-2.81, 2 Sc 2.79, 2 Re 2.80
Re1 0.5111 0.5111 0.0000  6 Li 2.71-2.81, 2 Re 2.79, 2 Sc 2.80
Li1 0.7687 0.2687 0.5000  2 Li 2.35
Li2 0.9787 0.9787 0.0000  2 Li 2.35

Summary:
Magnetic moment, μB/f.u.: 0.000
E_form, eV per atom: 0.35
Density, Mg/m³: 6.669
Energy relative to the lowest polymorph listed for this composition, eV/atom: 0.161

[12]
Here is a geometry-optimized Li2ScRe structure from the Alexandria database. Energies are from GGA-PBE.

Cell: 4.9011 4.9011 4.9011 Å, 132.61 132.61 69.26°
With the nearest neighbours (Å) after each atom.
Element x y z (fractional)
Re1 0.5000 0.5000 0.0000  8 Li 2.79-2.82, 4 Sc 2.82
Li1 0.0000 0.0000 0.0000  4 Re 2.79, 4 Li 2.82, 4 Sc 2.82
Li2 0.2500 0.7500 0.5000  4 Sc 2.79, 4 Re 2.82, 4 Li 2.82
Sc1 0.7500 0.2500 0.5000  8 Li 2.79-2.82, 4 Re 2.82

Summary:
Magnetic moment, μB/f.u.: 0.000
E_form, eV per atom: 0.44
Density, Mg/m³: 6.503
Energy relative to the lowest polymorph listed for this composition, eV/atom: 0.250